A relaxed structure of AcMg2Au4. Source: the Alexandria database, functional GGA-PBE.

The space group is Immm (No. 71) and the conventional cell measures 3.744, 4.441 and 19.277 Å, with angles of 90.00, 90.00 and 90.00 degrees. The asymmetric unit holds Ac at (0.000, 0.000, 0.000), Mg at (0.000, 0.500, 0.192), Au at (0.000, 0.000, 0.424) and Au at (0.000, 0.500, 0.332).

As for the energy relative to the elements: -612 meV/atom. The calculation puts the total magnetization at 0.000 μB/cell. The value obtained for the polymorph energy (0 for the lowest one) is 94.4 meV/atom.


A relaxed structure of Ac12MgAu7. Source: the Alexandria database, functional GGA-PBE.

The space group is R-3 (No. 148, hexagonal axes) and the conventional cell measures 16.2258, 16.2258 and 9.5759 Å, with angles of 90.00, 90.00 and 120.00 degrees. The asymmetric unit holds Ac at (0.0180, 0.5862, 0.3175), Ac at (0.0450, 0.8707, 0.2837), Mg at (0.0000, 0.0000, 0.0000), Au at (0.0000, 0.0000, 0.5000) and Au at (0.0494, 0.8641, 0.9171).

As for the energy relative to the elements: -457 meV/atom. The calculation puts the total magnetization at 0.011 μB/cell.


A relaxed structure of Ac2MgAu6. Source: the Alexandria database, functional GGA-PBE.

The space group is P-3m1 (No. 164) and the conventional cell measures 6.5791, 6.5791 and 5.7373 Å, with angles of 90.00, 90.00 and 120.00 degrees. The asymmetric unit holds Ac at (0.3333, 0.6667, 0.3238), Mg at (0.0000, 0.0000, 0.5000) and Au at (0.1803, 0.3606, 0.8134).

As for the energy relative to the elements: -679 meV/atom. The calculation puts the total magnetization at 0.000 μB/cell.


A relaxed structure of AcMg3Au. Source: the Alexandria database, functional GGA-PBE.

The space group is Pnma (No. 62) and the conventional cell measures 9.474, 4.450 and 12.404 Å, with angles of 90.00, 90.00 and 90.00 degrees. The asymmetric unit holds Ac at (0.173, 0.250, 0.010), Mg at (0.052, 0.250, 0.417), Mg at (0.108, 0.750, 0.238), Mg at (0.143, 0.750, 0.783) and Au at (0.128, 0.250, 0.635).

As for the energy relative to the elements: -379 meV/atom. The calculation puts the total magnetization at 0.000 μB/cell. The value obtained for the polymorph energy (0 for the lowest one) is 0.0 meV/atom.


A relaxed structure of AcMgAu. Source: the Alexandria database, functional GGA-PBE.

The space group is P-6m2 (No. 187) and the conventional cell measures 4.8665, 4.8665 and 4.1154 Å, with angles of 90.00, 90.00 and 120.00 degrees. The asymmetric unit holds Ac at (0.0000, 0.0000, 0.0000), Mg at (0.6667, 0.3333, 0.5000) and Au at (0.3333, 0.6667, 0.5000).

As for the energy relative to the elements: -534 meV/atom. The calculation puts the total magnetization at 0.000 μB/cell. The value obtained for the polymorph energy (0 for the lowest one) is 111.0 meV/atom.


A relaxed structure of AcMgAu. Source: the Alexandria database, functional GGA-PBE.

The space group is F-43m (No. 216) and the conventional cell measures 7.228, 7.228 and 7.228 Å, with angles of 90.00, 90.00 and 90.00 degrees. The asymmetric unit holds Ac at (0.000, 0.000, 0.000), Mg at (0.000, 0.000, 0.500) and Au at (0.250, 0.250, 0.250).

As for the energy relative to the elements: -481 meV/atom. The calculation puts the total magnetization at 0.001 μB/cell. The value obtained for the polymorph energy (0 for the lowest one) is 163.7 meV/atom.


A relaxed structure of AcMgAu4. Source: the Alexandria database, functional GGA-PBE.

The space group is P4/mmm (No. 123) and the conventional cell measures 4.586, 4.586 and 7.406 Å, with angles of 90.00, 90.00 and 90.00 degrees. The asymmetric unit holds Ac at (0.000, 0.000, 0.000), Mg at (0.500, 0.500, 0.500) and Au at (0.000, 0.500, 0.297).

As for the energy relative to the elements: -455 meV/atom. The calculation puts the total magnetization at 0.000 μB/cell. The value obtained for the polymorph energy (0 for the lowest one) is 50.1 meV/atom.


A relaxed structure of AcMg4Au4. Source: the Alexandria database, functional GGA-PBE.

The space group is P4_2/nmc (No. 137, origin choice 2) and the conventional cell measures 6.882, 6.882 and 8.730 Å, with angles of 90.00, 90.00 and 90.00 degrees. The asymmetric unit holds Ac at (0.250, 0.750, 0.250), Mg at (0.002, 0.250, 0.133) and Au at (0.043, 0.250, 0.444).

As for the energy relative to the elements: -563 meV/atom. The calculation puts the total magnetization at 0.000 μB/cell.


A relaxed structure of AcMgAu. Source: the Alexandria database, functional GGA-PBE.

The space group is Fddd (No. 70, origin choice 2) and the conventional cell measures 8.634, 12.767 and 12.827 Å, with angles of 90.00, 90.00 and 90.00 degrees. The asymmetric unit holds Ac at (0.000, 0.000, 0.000), Mg at (0.125, 0.252, 0.625) and Au at (0.125, 0.125, 0.449).

As for the energy relative to the elements: -441 meV/atom. The calculation puts the total magnetization at 0.000 μB/cell. The value obtained for the polymorph energy (0 for the lowest one) is 203.6 meV/atom.


A relaxed structure of Ac2MgAu3. Source: the Alexandria database, functional GGA-PBE.

The space group is Imm2 (No. 44) and the conventional cell measures 4.301, 4.383 and 17.929 Å, with angles of 90.00, 90.00 and 90.00 degrees. The asymmetric unit holds Ac at (0.000, 0.000, 0.000), Ac at (0.000, 0.500, 0.227), Mg at (0.000, 0.000, 0.398), Au at (0.000, 0.000, 0.552), Au at (0.000, 0.500, 0.654) and Au at (0.000, 0.500, 0.812).

As for the energy relative to the elements: -702 meV/atom. The calculation puts the total magnetization at 0.000 μB/cell. The value obtained for the polymorph energy (0 for the lowest one) is 8.7 meV/atom.


A relaxed structure of Ac2MgAu7. Source: the Alexandria database, functional GGA-PBE.

The space group is P-4m2 (No. 115) and the conventional cell measures 4.217, 4.217 and 13.287 Å, with angles of 90.00, 90.00 and 90.00 degrees. The asymmetric unit holds Ac at (0.000, 0.500, 0.242), Mg at (0.000, 0.000, 0.500), Au at (0.000, 0.000, 0.000), Au at (0.000, 0.500, 0.644), Au at (0.000, 0.500, 0.855), Au at (0.500, 0.500, 0.000) and Au at (0.500, 0.500, 0.500).

As for the energy relative to the elements: -614 meV/atom. The calculation puts the total magnetization at 0.000 μB/cell.


A relaxed structure of Ac2MgAu. Source: the Alexandria database, functional GGA-PBE.

The space group is P4/mmm (No. 123) and the conventional cell measures 4.011, 4.011 and 7.993 Å, with angles of 90.00, 90.00 and 90.00 degrees. The asymmetric unit holds Ac at (0.000, 0.000, 0.233), Mg at (0.500, 0.500, 0.500) and Au at (0.500, 0.500, 0.000).

As for the energy relative to the elements: -421 meV/atom. The calculation puts the total magnetization at 0.000 μB/cell. The value obtained for the polymorph energy (0 for the lowest one) is 0.0 meV/atom.